(1)
Ba6Na2AgPd: optimized geometry, PBE.

Structure (CIF):
```
data_Ba6Na2AgPd
_chemical_formula_sum 'Ba6 Na2 Ag1 Pd1'
_cell_length_a 9.1511
_cell_length_b 9.1511
_cell_length_c 9.1511
_cell_angle_alpha 60.00
_cell_angle_beta 60.00
_cell_angle_gamma 60.00
_symmetry_space_group_name_H-M 'P 1'
_symmetry_Int_Tables_number 1
loop_
_symmetry_equiv_pos_as_xyz
'x,y,z'
loop_
_atom_site_label
_atom_site_type_symbol
_atom_site_fract_x
_atom_site_fract_y
_atom_site_fract_z
Ba1 Ba 0.2441 0.2441 0.7559
Ba2 Ba 0.2441 0.7559 0.2441
Ba3 Ba 0.2441 0.7559 0.7559
Ba4 Ba 0.7559 0.2441 0.2441
Ba5 Ba 0.7559 0.2441 0.7559
Ba6 Ba 0.7559 0.7559 0.2441
Na1 Na 0.2500 0.2500 0.2500
Na2 Na 0.7500 0.7500 0.7500
Ag1 Ag 0.5000 0.5000 0.5000
Pd1 Pd 0.0000 0.0000 0.0000
```

DFT total energy	-2.3812	eV/atom
space group	No. 225
DOS(E_F)	7.13	states/eV/cell
total moment	0.00	μB per formula unit

(2)
Ba6Na2AgPt: optimized geometry, PBE.

Structure (CIF):
```
data_Ba6Na2AgPt
_chemical_formula_sum 'Ba12 Na4 Ag2 Pt2'
_cell_length_a 8.7986
_cell_length_b 9.0894
_cell_length_c 15.5310
_cell_angle_alpha 90.00
_cell_angle_beta 124.06
_cell_angle_gamma 90.00
_symmetry_space_group_name_H-M 'P 1'
_symmetry_Int_Tables_number 1
loop_
_symmetry_equiv_pos_as_xyz
'x,y,z'
loop_
_atom_site_label
_atom_site_type_symbol
_atom_site_fract_x
_atom_site_fract_y
_atom_site_fract_z
Ba1 Ba 0.1733 0.1912 0.4681
Ba2 Ba 0.1733 0.3088 0.9681
Ba3 Ba 0.2816 0.7087 0.4705
Ba4 Ba 0.2816 0.7913 0.9705
Ba5 Ba 0.3260 0.5005 0.7580
Ba6 Ba 0.3260 0.9995 0.2580
Ba7 Ba 0.6740 0.0005 0.7420
Ba8 Ba 0.6740 0.4995 0.2420
Ba9 Ba 0.7184 0.2087 0.0295
Ba10 Ba 0.7184 0.2913 0.5295
Ba11 Ba 0.8267 0.6912 0.0319
Ba12 Ba 0.8267 0.8088 0.5319
Na1 Na 0.2189 0.0608 0.7502
Na2 Na 0.2189 0.4392 0.2502
Na3 Na 0.7811 0.5608 0.7498
Na4 Na 0.7811 0.9392 0.2498
Ag1 Ag 0.0000 0.0000 0.0000
Ag2 Ag 0.0000 0.5000 0.5000
Pt1 Pt 0.5000 0.0000 0.5000
Pt2 Pt 0.5000 0.5000 0.0000
```

DFT total energy	-2.5488	eV/atom
space group	No. 14
DOS(E_F)	13.60	states/eV/cell
total moment	0.00	μB per formula unit

(3)
Ba6NaAgPt: optimized geometry, PBE.

Structure (CIF):
```
data_Ba6NaAgPt
_chemical_formula_sum 'Ba6 Na1 Ag1 Pt1'
_cell_length_a 8.4413
_cell_length_b 8.4413
_cell_length_c 7.9359
_cell_angle_alpha 90.00
_cell_angle_beta 90.00
_cell_angle_gamma 120.00
_symmetry_space_group_name_H-M 'P 1'
_symmetry_Int_Tables_number 1
loop_
_symmetry_equiv_pos_as_xyz
'x,y,z'
loop_
_atom_site_label
_atom_site_type_symbol
_atom_site_fract_x
_atom_site_fract_y
_atom_site_fract_z
Ba1 Ba 0.0408 0.3505 0.2297
Ba2 Ba 0.0408 0.6903 0.7703
Ba3 Ba 0.3097 0.3505 0.7703
Ba4 Ba 0.3097 0.9592 0.2297
Ba5 Ba 0.6495 0.6903 0.2297
Ba6 Ba 0.6495 0.9592 0.7703
Na1 Na 0.6667 0.3333 0.5000
Ag1 Ag 0.0000 0.0000 0.0000
Pt1 Pt 0.3333 0.6667 0.0000
```

DFT total energy	-2.6451	eV/atom
space group	No. 149
DOS(E_F)	6.80	states/eV/cell
total moment	0.00	μB per formula unit

(4)
Ba7NaAg2Pt2: optimized geometry, PBE.

Structure (CIF):
```
data_Ba7NaAg2Pt2
_chemical_formula_sum 'Ba7 Na1 Ag2 Pt2'
_cell_length_a 14.1131
_cell_length_b 14.1131
_cell_length_c 14.1131
_cell_angle_alpha 153.31
_cell_angle_beta 38.10
_cell_angle_gamma 153.32
_symmetry_space_group_name_H-M 'P 1'
_symmetry_Int_Tables_number 1
loop_
_symmetry_equiv_pos_as_xyz
'x,y,z'
loop_
_atom_site_label
_atom_site_type_symbol
_atom_site_fract_x
_atom_site_fract_y
_atom_site_fract_z
Ba1 Ba 0.9998 0.9998 0.0000
Ba2 Ba 0.1194 0.5000 0.6193
Ba3 Ba 0.2337 0.0008 0.2330
Ba4 Ba 0.3806 0.5000 0.8806
Ba5 Ba 0.6194 0.5000 0.1194
Ba6 Ba 0.7678 0.0008 0.7670
Ba7 Ba 0.8807 0.5000 0.3807
Na1 Na 0.4991 0.9991 0.5000
Ag1 Ag 0.2509 0.5010 0.7499
Ag2 Ag 0.7510 0.5010 0.2501
Pt1 Pt 0.1158 0.0000 0.1157
Pt2 Pt 0.8843 0.0000 0.8843
```

DFT total energy	-3.0709	eV/atom
space group	No. 44
DOS(E_F)	10.04	states/eV/cell
total moment	0.00	μB per formula unit

(5)
Ba8NaAg2Pt: optimized geometry, PBE.

Structure (CIF):
```
data_Ba8NaAg2Pt
_chemical_formula_sum 'Ba8 Na1 Ag2 Pt1'
_cell_length_a 7.8226
_cell_length_b 8.1066
_cell_length_c 9.9887
_cell_angle_alpha 89.93
_cell_angle_beta 89.85
_cell_angle_gamma 89.02
_symmetry_space_group_name_H-M 'P 1'
_symmetry_Int_Tables_number 1
loop_
_symmetry_equiv_pos_as_xyz
'x,y,z'
loop_
_atom_site_label
_atom_site_type_symbol
_atom_site_fract_x
_atom_site_fract_y
_atom_site_fract_z
Ba1 Ba 0.2308 0.1355 0.4992
Ba2 Ba 0.2550 0.6638 0.2175
Ba3 Ba 0.2561 0.6652 0.7830
Ba4 Ba 0.2577 0.1833 0.9995
Ba5 Ba 0.7423 0.8167 0.0005
Ba6 Ba 0.7439 0.3348 0.2170
Ba7 Ba 0.7450 0.3362 0.7825
Ba8 Ba 0.7692 0.8645 0.5008
Na1 Na 0.5000 0.5000 0.5000
Ag1 Ag 0.0000 0.9997 0.2363
Ag2 Ag 0.0000 0.0003 0.7637
Pt1 Pt 0.5000 0.5000 0.0000
```

DFT total energy	-2.5553	eV/atom
space group	No. 2
DOS(E_F)	11.77	states/eV/cell
total moment	0.00	μB per formula unit

(6)
Ba6Na3Ag2Pt: optimized geometry, PBE.

Structure (CIF):
```
data_Ba6Na3Ag2Pt
_chemical_formula_sum 'Ba6 Na3 Ag2 Pt1'
_cell_length_a 8.1459
_cell_length_b 8.1459
_cell_length_c 10.1744
_cell_angle_alpha 96.77
_cell_angle_beta 96.77
_cell_angle_gamma 117.87
_symmetry_space_group_name_H-M 'P 1'
_symmetry_Int_Tables_number 1
loop_
_symmetry_equiv_pos_as_xyz
'x,y,z'
loop_
_atom_site_label
_atom_site_type_symbol
_atom_site_fract_x
_atom_site_fract_y
_atom_site_fract_z
Ba1 Ba 0.0506 0.3687 0.1769
Ba2 Ba 0.2491 0.2491 0.8045
Ba3 Ba 0.3687 0.0506 0.1769
Ba4 Ba 0.6313 0.9494 0.8231
Ba5 Ba 0.7509 0.7509 0.1955
Ba6 Ba 0.9494 0.6313 0.8231
Na1 Na 0.2029 0.7971 0.5000
Na2 Na 0.5000 0.5000 0.5000
Na3 Na 0.7971 0.2029 0.5000
Ag1 Ag 0.3415 0.6585 0.0000
Ag2 Ag 0.6585 0.3415 0.0000
Pt1 Pt 0.0000 0.0000 0.0000
```

DFT total energy	-2.4756	eV/atom
space group	No. 12
DOS(E_F)	9.13	states/eV/cell
total moment	0.00	μB per formula unit

(7)
RbBa2NaAg: optimized geometry, PBE.

Structure (CIF):
```
data_RbBa2NaAg
_chemical_formula_sum 'Rb1 Ba2 Na1 Ag1'
_cell_length_a 6.5645
_cell_length_b 6.5645
_cell_length_c 6.8368
_cell_angle_alpha 90.00
_cell_angle_beta 90.00
_cell_angle_gamma 90.00
_symmetry_space_group_name_H-M 'P 1'
_symmetry_Int_Tables_number 1
loop_
_symmetry_equiv_pos_as_xyz
'x,y,z'
loop_
_atom_site_label
_atom_site_type_symbol
_atom_site_fract_x
_atom_site_fract_y
_atom_site_fract_z
Rb1 Rb 0.0000 0.0000 0.0000
Ba1 Ba 0.0000 0.5000 0.5000
Ba2 Ba 0.5000 0.0000 0.5000
Na1 Na 0.5000 0.5000 0.0000
Ag1 Ag 0.0000 0.0000 0.5000
```

DFT total energy	-1.7662	eV/atom
space group	No. 123
DOS(E_F)	3.16	states/eV/cell
total moment	0.00	μB per formula unit

(8)
RbBa2NaAg: optimized geometry, PBE.

Structure (CIF):
```
data_RbBa2NaAg
_chemical_formula_sum 'Rb1 Ba2 Na1 Ag1'
_cell_length_a 6.6043
_cell_length_b 6.6043
_cell_length_c 6.2963
_cell_angle_alpha 90.00
_cell_angle_beta 90.00
_cell_angle_gamma 90.00
_symmetry_space_group_name_H-M 'P 1'
_symmetry_Int_Tables_number 1
loop_
_symmetry_equiv_pos_as_xyz
'x,y,z'
loop_
_atom_site_label
_atom_site_type_symbol
_atom_site_fract_x
_atom_site_fract_y
_atom_site_fract_z
Rb1 Rb 0.0000 0.0000 0.0000
Ba1 Ba 0.0000 0.5000 0.5000
Ba2 Ba 0.5000 0.0000 0.5000
Na1 Na 0.5000 0.5000 0.0000
Ag1 Ag 0.5000 0.5000 0.5000
```

DFT total energy	-1.7915	eV/atom
space group	No. 123
DOS(E_F)	3.41	states/eV/cell
total moment	0.00	μB per formula unit

(9)
Ba8NaAg2Rh: optimized geometry, PBE.

Structure (CIF):
```
data_Ba8NaAg2Rh
_chemical_formula_sum 'Ba8 Na1 Ag2 Rh1'
_cell_length_a 7.8136
_cell_length_b 8.0521
_cell_length_c 9.9189
_cell_angle_alpha 89.96
_cell_angle_beta 89.89
_cell_angle_gamma 88.88
_symmetry_space_group_name_H-M 'P 1'
_symmetry_Int_Tables_number 1
loop_
_symmetry_equiv_pos_as_xyz
'x,y,z'
loop_
_atom_site_label
_atom_site_type_symbol
_atom_site_fract_x
_atom_site_fract_y
_atom_site_fract_z
Ba1 Ba 0.2297 0.1345 0.4995
Ba2 Ba 0.2588 0.6618 0.2147
Ba3 Ba 0.2596 0.6628 0.7857
Ba4 Ba 0.2644 0.1868 0.9996
Ba5 Ba 0.7356 0.8132 0.0004
Ba6 Ba 0.7404 0.3372 0.2143
Ba7 Ba 0.7412 0.3382 0.7853
Ba8 Ba 0.7703 0.8655 0.5005
Na1 Na 0.5000 0.5000 0.5000
Ag1 Ag 0.0000 0.9998 0.2343
Ag2 Ag 0.0000 0.0002 0.7657
Rh1 Rh 0.5000 0.5000 0.0000
```

DFT total energy	-2.5660	eV/atom
space group	No. 2
DOS(E_F)	10.12	states/eV/cell
total moment	0.00	μB per formula unit

(10)
Ba6Na2AgRh: optimized geometry, PBE.

Structure (CIF):
```
data_Ba6Na2AgRh
_chemical_formula_sum 'Ba6 Na2 Ag1 Rh1'
_cell_length_a 9.0548
_cell_length_b 9.0548
_cell_length_c 9.0548
_cell_angle_alpha 119.99
_cell_angle_beta 119.99
_cell_angle_gamma 90.02
_symmetry_space_group_name_H-M 'P 1'
_symmetry_Int_Tables_number 1
loop_
_symmetry_equiv_pos_as_xyz
'x,y,z'
loop_
_atom_site_label
_atom_site_type_symbol
_atom_site_fract_x
_atom_site_fract_y
_atom_site_fract_z
Ba1 Ba 0.0000 0.0000 0.0000
Ba2 Ba 0.0000 0.0000 0.5200
Ba3 Ba 0.0000 0.4800 0.0000
Ba4 Ba 0.4800 0.0000 0.0000
Ba5 Ba 0.4802 0.4802 0.0000
Ba6 Ba 0.4800 0.4800 0.4800
Na1 Na 0.4898 0.9898 0.5000
Na2 Na 0.9898 0.4898 0.5000
Ag1 Ag 0.7402 0.7402 0.0000
Rh1 Rh 0.2402 0.2402 0.0000
```

DFT total energy	-2.5588	eV/atom
space group	No. 107
DOS(E_F)	7.62	states/eV/cell
total moment	0.00	μB per formula unit

(11)
Ba2NaAg3Sb4: optimized geometry, PBE.

Structure (CIF):
```
data_Ba2NaAg3Sb4
_chemical_formula_sum 'Ba2 Na1 Ag3 Sb4'
_cell_length_a 4.8535
_cell_length_b 4.8535
_cell_length_c 12.2593
_cell_angle_alpha 90.00
_cell_angle_beta 90.00
_cell_angle_gamma 90.00
_symmetry_space_group_name_H-M 'P 1'
_symmetry_Int_Tables_number 1
loop_
_symmetry_equiv_pos_as_xyz
'x,y,z'
loop_
_atom_site_label
_atom_site_type_symbol
_atom_site_fract_x
_atom_site_fract_y
_atom_site_fract_z
Ba1 Ba 0.0000 0.5000 0.2489
Ba2 Ba 0.5000 0.0000 0.7511
Na1 Na 0.5000 0.5000 0.0000
Ag1 Ag 0.0000 0.0000 0.0000
Ag2 Ag 0.0000 0.5000 0.6323
Ag3 Ag 0.5000 0.0000 0.3677
Sb1 Sb 0.0000 0.0000 0.5000
Sb2 Sb 0.0000 0.5000 0.8574
Sb3 Sb 0.5000 0.0000 0.1426
Sb4 Sb 0.5000 0.5000 0.5000
```

space group	No. 115
DOS(E_F)	5.17	states/eV/cell
formation energy from raw total energies	-0.522	eV/atom
total moment	0.00	μB per formula unit

(12)
BaNa2Ag2Sb2: optimized geometry, PBE.

Structure (CIF):
```
data_BaNa2Ag2Sb2
_chemical_formula_sum 'Ba1 Na2 Ag2 Sb2'
_cell_length_a 9.9608
_cell_length_b 9.9608
_cell_length_c 9.9608
_cell_angle_alpha 28.60
_cell_angle_beta 28.60
_cell_angle_gamma 28.60
_symmetry_space_group_name_H-M 'P 1'
_symmetry_Int_Tables_number 1
loop_
_symmetry_equiv_pos_as_xyz
'x,y,z'
loop_
_atom_site_label
_atom_site_type_symbol
_atom_site_fract_x
_atom_site_fract_y
_atom_site_fract_z
Ba1 Ba 0.0000 0.0000 0.0000
Na1 Na 0.1372 0.1372 0.1372
Na2 Na 0.8628 0.8628 0.8628
Ag1 Ag 0.4181 0.4181 0.4181
Ag2 Ag 0.5819 0.5819 0.5819
Sb1 Sb 0.2527 0.2527 0.2527
Sb2 Sb 0.7473 0.7473 0.7473
```

space group	No. 166
DOS(E_F)	0.56	states/eV/cell
formation energy from raw total energies	-0.535	eV/atom
total moment	0.00	μB per formula unit